DFT (PBE+U) results for RbCrNO2 after structural relaxation.

Unit cell a=3.943 b=3.943 c=3.783 alpha=90.00 beta=90.00 gamma=90.00
Fractional positions:
Rb 0.500 0.500 0.500
O 0.500 0.000 0.000
O 0.000 0.500 0.000
Cr 0.000 0.000 0.000
N 0.000 0.000 0.500

## Properties
* magnetic moment: 0.000 μB per atom
* symmetry: P4/mmm, No. 123
* crystal system: tetragonal
* raw total energy: -5.61 eV/atom